[1]
# Ce3Cu2Ag4

A relaxed Ce3Cu2Ag4 crystal (PBE-GGA, Alexandria).

Computed properties:
Space group: No. 12
Final energy, eV for the cell shown: -38.5
D(E_F), states/eV per atom: 2.05

a = 4.7787 Å, b = 5.7900 Å, c = 8.8857 Å
α = 117.94°, β = 90.00°, γ = 114.37°
With the nearest neighbours (Å) after each atom.
Fractional positions:
Ce (0.6706, 0.3412, 0.6587)  4 Cu 3.13-3.23, 8 Ag 3.13-3.32, 2 Ce 3.23
Ce (0.0000, 0.0000, 0.0000)  8 Ag 3.13-3.29, 4 Cu 3.17, 2 Ce 3.23
Ce (0.3294, 0.6588, 0.3413)  4 Cu 3.13-3.23, 8 Ag 3.13-3.32, 2 Ce 3.23
Cu (0.6016, 0.2033, 0.2719)  3 Ag 2.73
Cu (0.3984, 0.7967, 0.7281)  3 Ag 2.73
Ag (0.7155, 0.4311, 0.0574)  1 Cu 2.73, 2 Ag 2.84
Ag (0.2845, 0.5689, 0.9426)  1 Cu 2.73, 2 Ag 2.84
Ag (0.9497, 0.8994, 0.6208)  2 Cu 2.73, 1 Ag 2.84
Ag (0.0503, 0.1006, 0.3792)  2 Cu 2.73, 1 Ag 2.84

[2]
# Nd2GeCl

A relaxed Nd2GeCl crystal (PBE-GGA, Alexandria).

Computed properties:
Space group: No. 160
E_form (uncorrected), eV/atom: -1.20
Offset from the most stable computed form, kJ per mole of atoms: 6.86
D(E_F), states/eV per atom: 0.61

a = 4.1929 Å, b = 4.1929 Å, c = 7.8284 Å
α = 74.47°, β = 74.47°, γ = 60.00°
With the nearest neighbours (Å) after each atom.
Fractional positions:
Nd (0.0726, 0.0726, 0.7821)  3 Ge 2.90, 3 Cl 3.16
Nd (0.2621, 0.2621, 0.2137)  3 Ge 2.91
Ge (0.6681, 0.6681, 0.9957)  6 Nd 2.90-2.91
Cl (0.4972, 0.4972, 0.5085)  6 Nd 3.16-3.27